(1)
TaSi2TcSn GGA-PBE optimized geometry; raw formation energy = 2.19 eV/atom; Fermi-level density of states = 5.066 states/eV/cell; total magnetic moment = 2.0 μB/f.u.; space group = P4/mmm, No. 123; total energy = -5.23 eV/atom
1.0
4.897 0.000 0.000
0.000 4.897 0.000
0.000 0.000 5.241
Ta Si Tc Sn
1 2 1 1
Cartesian
0.000 0.000 0.000 Ta
0.000 2.448 2.620 Si
2.448 0.000 2.620 Si
2.448 2.448 0.000 Tc
0.000 0.000 2.620 Sn

***

(2)
PmGa4Au2 GGA-PBE optimized geometry; Fermi-level density of states = 10.124 states/eV/cell; total magnetic moment = 0.0 μB/f.u.; ΔE_f = -0.510 eV/atom; space group = Pnma, No. 62; total energy = -3.85 eV/atom; polymorph energy (0 for the lowest one) = 0.000 eV/atom
1.0
17.457 0.000 0.000
0.000 4.485 0.000
0.000 0.000 6.943
Pm Ga Au
4 16 8
Cartesian
2.475 1.121 0.098 Pm
6.254 3.364 3.569 Pm
11.203 1.121 3.373 Pm
14.982 3.364 6.845 Pm
0.671 3.364 5.924 Ga
1.116 1.121 3.234 Ga
3.177 3.364 2.244 Ga
3.250 3.364 5.045 Ga
5.478 1.121 1.573 Ga
5.552 1.121 5.715 Ga
7.612 3.364 6.706 Ga
8.057 1.121 2.453 Ga
9.400 3.364 4.490 Ga
9.845 1.121 0.237 Ga
11.905 3.364 1.227 Ga
11.979 3.364 5.369 Ga
14.207 1.121 1.898 Ga
14.280 1.121 4.699 Ga
16.340 3.364 3.708 Ga
16.786 1.121 1.018 Ga
0.556 3.364 1.683 Au
3.746 1.121 3.678 Au
4.982 3.364 0.207 Au
8.173 1.121 5.155 Au
9.284 3.364 1.788 Au
12.475 1.121 6.736 Au
13.711 3.364 3.265 Au
16.901 1.121 5.259 Au

***

(3)
TlInBSe2 GGA-PBE optimized geometry; raw formation energy = 1.17 eV/atom; Fermi-level density of states = 3.543 states/eV/cell; total magnetic moment = 0.2 μB/f.u.; space group = P4/mmm, No. 123; total energy = -2.58 eV/atom
1.0
5.321 0.000 0.000
0.000 5.321 0.000
0.000 0.000 5.796
Tl In B Se
1 1 1 2
Cartesian
0.000 0.000 0.000 Tl
0.000 0.000 2.898 In
2.660 2.660 0.000 B
0.000 2.660 2.898 Se
2.660 0.000 2.898 Se